DFT (GGA-PBE) results for a relaxed Cs2In4HgAu3 crystal.

Cell and atoms, written as POSCAR:
```
Cs2In4HgAu3
1.0
-1.989 -2.712 -4.027
4.552 0.472 -2.566
3.557 -9.409 4.580
Au Hg In Cs
3 1 4 2
Cartesian
2.683 -0.841 -0.759
2.155 -9.689 2.043
1.778 -4.705 2.290
3.060 -5.825 -1.006
1.229 -7.238 0.850
0.000 0.000 0.000
1.282 -1.120 -3.296
3.609 -3.291 0.434
4.927 -6.778 2.131
-0.089 -3.752 -0.847
```

Magnetic moment = 0.0 μB per formula unit
DFT total energy = -24.99 eV per cell
Theoretical density = 8.28 g/cm³
Symmetry = P-4m2, No. 115